Ti3Pd3O: relaxed, PBE.

abc: 5.4981 5.4981 7.2019
angles: 97.53 97.53 100.50
Last column: nearest neighbours and their distance in Å.
Fractional positions:
Ti  0.8573  0.8573  0.1289  2 O 1.97-2.00
Ti  0.9461  0.5609  0.7278  1 O 1.93
Ti  0.5609  0.9461  0.7278  1 O 1.93
Ti  0.0539  0.4391  0.2722  1 O 1.93
Ti  0.4391  0.0539  0.2722  1 O 1.93
Ti  0.1427  0.1427  0.8711  2 O 1.97-2.00
Pd  0.6202  0.6202  0.3709  3 Ti 2.65-2.88, 3 Pd 2.76-2.95
Pd  0.1549  0.8451  0.5000  4 Ti 2.52-2.64, 1 Pd 2.62
Pd  0.8451  0.1549  0.5000  4 Ti 2.52-2.64, 1 Pd 2.62
Pd  0.3373  0.6627  0.0000  6 Ti 2.64-2.92, 1 Pd 2.75
Pd  0.6627  0.3373  0.0000  6 Ti 2.64-2.92, 1 Pd 2.75
Pd  0.3798  0.3798  0.6291  3 Ti 2.65-2.88, 3 Pd 2.76-2.95
O  0.8548  0.8548  0.8550  4 Ti 1.93-2.00
O  0.1452  0.1452  0.1450  4 Ti 1.93-2.00

Output
Calculated density   7.6 g/cm³
Symmetry   C2/m
Density of states at the Fermi level   0.922 states/eV per atom
DFT total energy   -7.3549 eV/atom
Spin magnetization   0.000 μB/atom
ΔE_f (raw)   -1.0375 eV/atom